[1]
First-principles (PBE) data for an optimized crystal structure of Rb3Ac3TiS8, as listed in Alexandria.

The structure in POSCAR format:
```
Rb3Ac3TiS8
1.0
8.5127 0.0009 -0.0003
-4.2555 7.3728 -0.0311
-0.0008 -4.8864 7.8634
Rb Ac Ti S
3 3 1 8
Direct
0.0000 0.0000 0.0000
0.0000 0.5000 0.0000
0.5000 0.5000 0.0000
0.5000 0.0000 0.5000
0.0000 0.5000 0.5000
0.5000 0.5000 0.5000
0.0000 0.0000 0.5000
0.2029 0.4059 0.6801
0.2637 0.5274 0.2911
0.7971 0.5941 0.3199
0.7970 0.0227 0.3198
0.7363 0.4726 0.7089
0.2030 0.9773 0.6802
0.7743 0.9773 0.6801
0.2257 0.0227 0.3199
```

SG   No. 166
Final energy   -81.61 eV per cell
Energy relative to the elements, uncorrected   -1.6981 eV/atom

***

[2]
First-principles (PBE) data for an optimized crystal structure of RbAcTiS4, as listed in Alexandria.

The structure in POSCAR format:
```
RbAcTiS4
1.0
-4.8237 -4.8697 -1.7481
3.0229 -4.4824 4.1454
-3.2954 4.5768 7.3518
S Ti Rb Ac
8 2 2 2
Direct
0.4034 0.7500 0.5619
0.0029 0.4949 0.2848
0.9971 0.9949 0.7152
0.5816 0.2500 0.8305
0.5966 0.2500 0.4381
0.4184 0.7500 0.1695
0.9971 0.5051 0.7152
0.0029 0.0051 0.2848
0.7829 0.2500 0.6816
0.2171 0.7500 0.3184
0.2835 0.2500 0.0673
0.7165 0.7500 0.9327
0.2318 0.2500 0.5527
0.7682 0.7500 0.4473
```

SG   No. 11
Final energy   -82.41 eV per cell
Energy relative to the elements, uncorrected   -1.6750 eV/atom

***

[3]
First-principles (PBE) data for an optimized crystal structure of Rb2AcTlS4, as listed in Alexandria.

The structure in POSCAR format:
```
Rb2AcTlS4
1.0
8.8248 -0.1970 -0.1204
-0.2032 8.8247 -0.1204
-4.3296 -4.3326 6.5686
S Tl Rb Ac
8 2 4 2
Direct
0.2290 0.7132 0.4630
0.2132 0.7290 0.9630
0.7710 0.2868 0.5370
0.7198 0.7030 0.5069
0.2802 0.2970 0.4931
0.2030 0.2198 0.0069
0.7868 0.2710 0.0370
0.7970 0.7802 0.9931
0.5000 0.5000 0.5000
0.0000 0.0000 0.0000
0.5000 0.0000 0.0000
0.0000 0.0000 0.5000
0.5000 0.5000 0.0000
0.5000 0.0000 0.5000
0.0000 0.5000 0.5000
0.0000 0.5000 0.0000
```

SG   No. 15
Final energy   -67.99 eV per cell
Energy relative to the elements, uncorrected   -1.1345 eV/atom

***

Number 1: density 4189 kg/m3. Number 2: density 3801 kg/m3. Number 3: density 4835 kg/m3.